A plane-wave DFT calculation with PBE was carried out for a relaxed structure of HoGeHRu2.

Geometry as POSCAR:
```
HoGeHRu2
1.0
1.647 -5.715 0.000
1.647 5.715 0.000
0.000 0.000 7.649
Ho Ge H Ru
2 2 2 4
direct
0.031 0.969 0.750
0.969 0.031 0.250
0.244 0.756 0.250
0.756 0.244 0.750
0.500 0.500 0.000
0.500 0.500 0.500
0.350 0.650 0.544
0.350 0.650 0.956
0.650 0.350 0.044
0.650 0.350 0.456
```

## Properties
- E (eV per atom) = -6.64
- space-group type = Cmcm, No. 63
- M_tot (Bohr magnetons per cell) = 0.03

***

A plane-wave DFT calculation with PBE was carried out for a relaxed structure of CeCoNiP2.

Geometry as POSCAR:
```
CeCoNiP2
1.0
-1.954 1.954 4.733
1.954 -1.954 4.733
1.954 1.954 -4.733
Ce Co Ni P
1 1 1 2
direct
0.000 0.000 0.000
0.750 0.250 0.500
0.250 0.750 0.500
0.374 0.374 0.000
0.626 0.626 0.000
```

## Properties
- E (eV per atom) = -6.92
- space-group type = I-4m2, No. 119
- M_tot (Bohr magnetons per cell) = 0.22
- DFT formation energy (eV/atom) = -0.989

***

A plane-wave DFT calculation with PBE was carried out for a relaxed structure of La2PuAu.

Geometry as POSCAR:
```
La2PuAu
1.0
3.724 0.000 0.000
0.000 3.724 0.000
0.000 0.000 8.504
La Pu Au
2 1 1
direct
0.000 0.000 0.222
0.000 0.000 0.778
0.500 0.500 0.500
0.500 0.500 0.000
```

## Properties
- energy above the lowest structure with this stoichiometry (meV per atom) = 0
- E (eV per atom) = -7.14
- space-group type = P4/mmm, No. 123
- M_tot (Bohr magnetons per cell) = 6.59
- DFT formation energy (eV/atom) = -0.274

***

A plane-wave DFT calculation with PBE was carried out for a relaxed structure of Np2PtPb.

Geometry as POSCAR:
```
Np2PtPb
1.0
3.913 0.000 0.000
0.000 3.913 0.000
0.000 0.000 6.156
Np Pt Pb
2 1 1
direct
0.000 0.000 0.220
0.000 0.000 0.780
0.500 0.500 0.000
0.500 0.500 0.500
```

## Properties
- E (eV per atom) = -8.98
- space-group type = P4/mmm, No. 123
- M_tot (Bohr magnetons per cell) = 8.56
- DFT formation energy (eV/atom) = -0.071